NaLi2NiIr | PBE-GGA | relaxed

E_form = 5.64 eV/f.u.
V = 78.23 Å³ per cell

a b c (Å): 4.022 4.836 4.022
angles (deg): 90.00 90.00 90.00
Atoms (fractional coordinates):
Na 0.000 0.000 0.000
Li 0.500 0.000 0.000
Ni 0.500 0.500 0.500
Ir 0.000 0.500 0.000
Li 0.000 0.000 0.500